{
  "formula": "HfMnV2",
  "functional": "PBE",
  "state": "optimized geometry",
  "density_g_cm3": 7.70,
  "spacegroup": "I4_1/amd (141)",
  "dft_energy_ev_per_atom": -8.4277,
  "e_above_lowest_polymorph_kj_per_mol_atoms": 87.9,
  "formation_enthalpy_0k_ev_per_atom": 0.912,
  "cell": [[-2.098, -3.353, 1.457], [2.067, -2.473, -2.716], [5.808, -4.144, 4.924]],
  "species": ["V", "V", "V", "V", "Hf", "Hf", "Mn", "Mn"],
  "frac_coords": [[0.375, 0.625, 0.750], [0.375, 0.625, 0.250], [0.875, 0.625, 0.750], [0.375, 0.125, 0.250], [0.000, 0.000, 0.000], [0.750, 0.250, 0.500], [0.250, 0.750, 0.500], [0.500, 0.500, 0.000]]
}

=====

{
  "formula": "Zr8SnBi2",
  "functional": "PBE",
  "state": "optimized geometry",
  "density_g_cm3": 7.85,
  "spacegroup": "C2/m (12)",
  "dft_energy_ev_per_atom": -7.3856,
  "formation_enthalpy_0k_ev_per_atom": -0.099,
  "cell": [[5.486, -0.252, -0.378], [-1.289, 7.718, -0.710], [-1.289, -3.627, 6.849]],
  "species": ["Zr", "Zr", "Zr", "Zr", "Zr", "Zr", "Zr", "Zr", "Sn", "Bi", "Bi"],
  "frac_coords": [[0.500, 0.222, 0.778], [0.155, 0.310, 0.094], [0.699, 0.408, 0.408], [0.155, 0.094, 0.310], [0.500, 0.778, 0.222], [0.845, 0.906, 0.690], [0.301, 0.592, 0.592], [0.845, 0.690, 0.906], [0.500, 0.000, 0.000], [0.000, 0.696, 0.304], [0.000, 0.304, 0.696]]
}